# 1
Crystalline BaSrSiS4 at its relaxed geometry, computed with PBE.

The structure in extended XYZ format:
```
14
Lattice="6.707 0.000 0.000 0.000 6.776 0.000 -2.718 0.000 8.195" Properties=species:S:1:pos:R:3 pbc="T T T"
Ba 0.314 1.694 3.493
Ba 3.675 5.082 4.703
Sr -0.718 1.694 7.803
Sr 4.707 5.082 0.393
Si 1.376 5.082 1.611
Si 2.613 1.694 6.585
S -0.348 5.082 2.891
S -1.803 5.082 7.732
S 2.618 3.405 2.058
S 2.618 6.759 2.058
S 1.371 0.017 6.138
S 1.371 3.371 6.138
S 5.792 1.694 0.464
S 4.337 1.694 5.304
```

Its space-group type is No. 11. Its uncorrected formation energy is -1.62 eV/atom.

# 2
Crystalline AlBr3O at its relaxed geometry, computed with PBE.

The structure in extended XYZ format:
```
5
Lattice="4.826 0.000 0.000 0.000 4.826 0.000 0.000 0.000 4.826" Properties=species:S:1:pos:R:3 pbc="T T T"
Al 0.000 0.000 0.000
Br 0.000 2.413 2.413
Br 2.413 0.000 2.413
Br 2.413 2.413 0.000
O 2.413 2.413 2.413
```

Its space-group type is No. 221. Its uncorrected formation energy is 0.37 eV/atom.

# 3
Crystalline NdYGaSn at its relaxed geometry, computed with PBE.

The structure in extended XYZ format:
```
4
Lattice="0.000 3.753 3.753 3.753 0.000 3.753 3.753 3.753 0.000" Properties=species:S:1:pos:R:3 pbc="T T T"
Nd 0.000 0.000 0.000
Y 3.753 3.753 3.753
Ga 1.876 1.876 1.876
Sn 5.629 5.629 5.629
```

Its space-group type is No. 216. For the energy of formation, the calculation gives -12.97 kcal/mol of atoms.